A plane-wave DFT calculation with GGA-PBE was carried out for a relaxed structure of NbAgBiSe2.

Output
spin magnetization = 3.012 μB per cell
crystal system = tetragonal

a b c (Å): 5.5698 5.5698 5.1496
angles (deg): 90.00 90.00 90.00
Space group P4/mmm (No. 123)
One atom of each set of equivalent atoms:
Nb 0.0000 0.0000 0.0000 (multiplicity 1)
Ag 0.5000 0.5000 0.0000 (multiplicity 1)
Bi 0.5000 0.5000 0.5000 (multiplicity 1)
Se 0.0000 0.5000 0.5000 (multiplicity 2)


A plane-wave DFT calculation with GGA-PBE was carried out for a relaxed structure of LaNdNpN4.

Output
spin magnetization = 2.001 μB per cell
crystal system = tetragonal

a b c (Å): 4.2068 4.2068 12.8157
angles (deg): 90.00 90.00 90.00
Space group I4mm (No. 107)
One atom of each set of equivalent atoms:
La 0.0000 0.0000 0.0000 (multiplicity 2)
Nd 0.0000 0.0000 0.7035 (multiplicity 2)
Np 0.0000 0.0000 0.3491 (multiplicity 2)
N 0.0000 0.0000 0.1791 (multiplicity 2)
N 0.0000 0.0000 0.5200 (multiplicity 2)
N 0.0000 0.5000 0.3447 (multiplicity 4)


Taking the records one at a time from the top gives N(E_F) values of 0.585; 0.376 states/eV per atom.
Taking the records one at a time from the top gives energy relative to the elements, uncorrected values of 1097; -1211 meV per atom.